[1]
U2SbTe after structural relaxation. Source: Alexandria, functional PBE-GGA.

```
U2SbTe
1.0
0.0000 3.7384 3.7384
3.7384 0.0000 3.7384
3.7384 3.7384 0.0000
U Sb Te
2 1 1
direct
0.2500 0.2500 0.2500
0.7500 0.7500 0.7500
0.0000 0.0000 0.0000
0.5000 0.5000 0.5000
```

**Symmetry**: Fm-3m (225)
**Relative energy among the computed polymorphs**: 0 meV per atom

---

[2]
USbTe after structural relaxation. Source: Alexandria, functional PBE-GGA.

```
USbTe
1.0
4.3108 0.0000 0.0000
0.0000 4.3108 0.0000
0.0000 0.0000 9.0726
U Sb Te
2 2 2
direct
0.2500 0.2500 0.2280
0.7500 0.7500 0.7720
0.2500 0.7500 0.5000
0.7500 0.2500 0.5000
0.2500 0.2500 0.8676
0.7500 0.7500 0.1324
```

**Symmetry**: P4/nmm (129)

---

[3]
USbTe after structural relaxation. Source: Alexandria, functional PBE-GGA.

```
USbTe
1.0
-1.9703 1.9703 5.0492
1.9703 -1.9703 5.0492
1.9703 1.9703 -5.0492
U Sb Te
1 1 1
direct
0.0000 0.0000 0.0000
0.6569 0.6569 0.0000
0.3445 0.3445 0.0000
```

**Symmetry**: I4mm (107)

---

[4]
VSb3Te after structural relaxation. Source: Alexandria, functional PBE-GGA.

```
VSb3Te
1.0
5.1453 0.0000 0.0000
0.0000 5.1453 0.0000
0.0000 0.0000 5.1453
V Sb Te
1 3 1
direct
0.0000 0.0000 0.0000
0.0000 0.0000 0.5000
0.0000 0.5000 0.0000
0.5000 0.0000 0.0000
0.5000 0.5000 0.5000
```

**Symmetry**: Pm-3m (221)
**Relative energy among the computed polymorphs**: 0 meV per atom

---

[5]
V3SbTe after structural relaxation. Source: Alexandria, functional PBE-GGA.

```
V3SbTe
1.0
5.1234 0.0000 0.0000
0.0000 5.1234 0.0000
0.0000 0.0000 5.1234
V Sb Te
3 1 1
direct
0.0000 0.0000 0.5000
0.0000 0.5000 0.0000
0.5000 0.0000 0.0000
0.0000 0.0000 0.0000
0.5000 0.5000 0.5000
```

**Symmetry**: Pm-3m (221)
**Relative energy among the computed polymorphs**: 0 meV per atom

---

[6]
VSbTe after structural relaxation. Source: Alexandria, functional PBE-GGA.

```
VSbTe
1.0
4.6872 0.0000 0.0000
-2.3436 4.0592 0.0000
0.0000 0.0000 3.6491
V Sb Te
1 1 1
direct
0.0000 0.0000 0.0000
0.3333 0.6667 0.5000
0.6667 0.3333 0.0000
```

**Symmetry**: P-6m2 (187)
**Relative energy among the computed polymorphs**: 373 meV per atom

---

[7]
VSb3Te after structural relaxation. Source: Alexandria, functional PBE-GGA.

```
VSb3Te
1.0
5.6675 0.0000 0.0000
0.0000 5.6675 0.0000
0.0000 0.0000 5.6675
V Sb Te
1 3 1
direct
0.0000 0.0000 0.0000
0.0000 0.5000 0.5000
0.5000 0.0000 0.5000
0.5000 0.5000 0.0000
0.5000 0.5000 0.5000
```

**Symmetry**: Pm-3m (221)
**Relative energy among the computed polymorphs**: 1036 meV per atom

---

[8]
VSbTe after structural relaxation. Source: Alexandria, functional PBE-GGA.

```
VSbTe
1.0
3.1580 -3.6150 0.0000
3.1580 3.6150 0.0000
0.0000 0.0000 6.6129
V Sb Te
2 2 2
direct
0.0000 0.5000 0.0000
0.5000 0.0000 0.5000
0.0000 0.0000 0.2500
0.0000 0.0000 0.7500
0.5000 0.5000 0.2500
0.5000 0.5000 0.7500
```

**Symmetry**: Cccm (66)
**Relative energy among the computed polymorphs**: 143 meV per atom

---

[9]
V2SbTe3 after structural relaxation. Source: Alexandria, functional PBE-GGA.

```
V2SbTe3
1.0
8.1702 -1.7997 0.0000
8.1702 1.7997 0.0000
-6.5789 0.0000 10.1961
V Sb Te
4 2 6
direct
0.1061 0.1061 0.4618
0.3280 0.3280 0.0976
0.6720 0.6720 0.9024
0.8939 0.8939 0.5382
0.1093 0.1093 0.6936
0.8907 0.8907 0.3064
0.1480 0.1480 0.0443
0.2507 0.2507 0.3884
0.4694 0.4694 0.7416
0.5306 0.5306 0.2584
0.7493 0.7493 0.6116
0.8520 0.8520 0.9557
```

**Symmetry**: C2/m (12)

---

[10]
VSbTe4 after structural relaxation. Source: Alexandria, functional PBE-GGA.

```
VSbTe4
1.0
6.7573 -1.8928 0.0000
6.7573 1.8928 0.0000
-1.1034 0.0000 7.3248
V Sb Te
1 1 4
direct
0.0000 0.0000 0.0000
0.5000 0.5000 0.5000
0.1272 0.1272 0.3191
0.3798 0.3798 0.1245
0.6202 0.6202 0.8755
0.8728 0.8728 0.6809
```

**Symmetry**: C2/m (12)

---

[11]
VSbTe after structural relaxation. Source: Alexandria, functional PBE-GGA.

```
VSbTe
1.0
6.3567 -2.1548 0.0000
6.3567 2.1548 0.0000
-1.0362 0.0000 5.3441
V Sb Te
2 2 2
direct
0.2186 0.2186 0.3820
0.7814 0.7814 0.6180
0.1731 0.1731 0.8560
0.8269 0.8269 0.1440
0.4201 0.4201 0.6748
0.5799 0.5799 0.3252
```

**Symmetry**: C2/m (12)
**Relative energy among the computed polymorphs**: 0 meV per atom

---

[12]
VSb2TeW after structural relaxation. Source: Alexandria, functional PBE-GGA.

```
VSb2TeW
1.0
5.2412 0.0000 0.0000
0.0000 5.2412 0.0000
0.0000 0.0000 5.3448
V Sb Te W
1 2 1 1
direct
0.0000 0.0000 0.0000
0.0000 0.5000 0.5000
0.5000 0.0000 0.5000
0.5000 0.5000 0.0000
0.5000 0.5000 0.5000
```

**Symmetry**: P4/mmm (123)
**Relative energy among the computed polymorphs**: 0 meV per atom

---

Number 1: formation energy (no corrections) -0.331 eV/atom. Number 2: formation energy (no corrections) -0.552 eV/atom. Number 3: formation energy (no corrections) -0.359 eV/atom. Number 4: formation energy (no corrections) 0.234 eV/atom. Number 5: formation energy (no corrections) 1.006 eV/atom. Number 6: formation energy (no corrections) 0.284 eV/atom. Number 7: formation energy (no corrections) 1.270 eV/atom. Number 8: formation energy (no corrections) 0.053 eV/atom. Number 9: formation energy (no corrections) -0.158 eV/atom. Number 10: formation energy (no corrections) -0.153 eV/atom. Number 11: formation energy (no corrections) -0.090 eV/atom. Number 12: formation energy (no corrections) 1.070 eV/atom.